{
  "formula": "SrVI2",
  "functional": "GGA-PBE",
  "state": "relaxed",
  "cell": [[5.9388, 0.0000, 0.0000], [0.0000, 5.9388, 0.0000], [0.0000, 0.0000, 17.7181]],
  "species": ["Sr", "Sr", "Sr", "Sr", "V", "V", "V", "V", "I", "I", "I", "I", "I", "I", "I", "I"],
  "frac_coords": [[0.0000, 0.0000, 0.0000], [0.0000, 0.5000, 0.2500], [0.5000, 0.0000, 0.7500], [0.5000, 0.5000, 0.5000], [0.0000, 0.0000, 0.5000], [0.0000, 0.5000, 0.7500], [0.5000, 0.0000, 0.2500], [0.5000, 0.5000, 0.0000], [0.2000, 0.2500, 0.6250], [0.2500, 0.7000, 0.8750], [0.2500, 0.8000, 0.3750], [0.3000, 0.2500, 0.1250], [0.7000, 0.7500, 0.1250], [0.7500, 0.2000, 0.3750], [0.7500, 0.3000, 0.8750], [0.8000, 0.7500, 0.6250]],
  "spacegroup": "I-42d",
  "total_magnetization_mub_per_atom": 1.224,
  "polymorph_energy_ev_per_atom": 0.000,
  "n_ef_per_ev_cell": 10.8,
  "raw_formation_energy_ev_per_atom": -0.244
}

***

{
  "formula": "Cd3PbSe",
  "functional": "GGA-PBE",
  "state": "relaxed",
  "cell": [[5.5522, 0.0000, 0.0000], [0.0000, 5.5522, 0.0000], [0.0000, 0.0000, 5.5522]],
  "species": ["Cd", "Cd", "Cd", "Pb", "Se"],
  "frac_coords": [[0.0000, 0.0000, 0.5000], [0.0000, 0.5000, 0.0000], [0.5000, 0.0000, 0.0000], [0.0000, 0.0000, 0.0000], [0.5000, 0.5000, 0.5000]],
  "spacegroup": "Pm-3m",
  "total_magnetization_mub_per_atom": 0.000,
  "polymorph_energy_ev_per_atom": 0.122,
  "n_ef_per_ev_cell": 3.9,
  "raw_formation_energy_ev_per_atom": 0.421
}

***

{
  "formula": "ScRe2Ag",
  "functional": "GGA-PBE",
  "state": "relaxed",
  "cell": [[2.6867, 0.0000, 0.0000], [0.0000, 2.6867, 0.0000], [0.0000, 0.0000, 9.2144]],
  "species": ["Sc", "Re", "Re", "Ag"],
  "frac_coords": [[0.0000, 0.0000, 0.0000], [0.5000, 0.5000, 0.2501], [0.5000, 0.5000, 0.7499], [0.0000, 0.0000, 0.5000]],
  "spacegroup": "P4/mmm",
  "delta_e_f_mev_per_atom": 428,
  "total_magnetization_mub_per_atom": 0.000,
  "polymorph_energy_ev_per_atom": 0.387,
  "n_ef_per_ev_cell": 4.1
}

***

{
  "formula": "SiOs2Cl",
  "functional": "GGA-PBE",
  "state": "relaxed",
  "cell": [[2.8726, 0.0000, 0.0000], [-1.4363, 2.4877, 0.0000], [0.0000, 0.0000, 24.1589]],
  "species": ["Si", "Si", "Si", "Os", "Os", "Os", "Os", "Os", "Os", "Cl", "Cl", "Cl"],
  "frac_coords": [[0.0000, 0.0000, 0.0000], [0.3333, 0.6667, 0.6667], [0.6667, 0.3333, 0.3333], [0.0000, 0.0000, 0.2568], [0.0000, 0.0000, 0.7432], [0.3333, 0.6667, 0.4098], [0.3333, 0.6667, 0.9235], [0.6667, 0.3333, 0.0765], [0.6667, 0.3333, 0.5902], [0.0000, 0.0000, 0.5000], [0.3333, 0.6667, 0.1667], [0.6667, 0.3333, 0.8333]],
  "spacegroup": "R-3m",
  "total_magnetization_mub_per_atom": 0.000,
  "polymorph_energy_ev_per_atom": 0.063,
  "n_ef_per_ev_cell": 8.5,
  "raw_formation_energy_ev_per_atom": 0.389
}

***

{
  "formula": "BaEuAgRh",
  "functional": "GGA-PBE",
  "state": "relaxed",
  "cell": [[7.6048, 0.0000, 0.0000], [0.0000, 7.6048, 0.0000], [0.0000, 0.0000, 7.6048]],
  "species": ["Ba", "Ba", "Ba", "Ba", "Eu", "Eu", "Eu", "Eu", "Ag", "Ag", "Ag", "Ag", "Rh", "Rh", "Rh", "Rh"],
  "frac_coords": [[0.0000, 0.0000, 0.0000], [0.0000, 0.5000, 0.5000], [0.5000, 0.0000, 0.5000], [0.5000, 0.5000, 0.0000], [0.0000, 0.0000, 0.5000], [0.0000, 0.5000, 0.0000], [0.5000, 0.0000, 0.0000], [0.5000, 0.5000, 0.5000], [0.2500, 0.2500, 0.2500], [0.2500, 0.7500, 0.7500], [0.7500, 0.2500, 0.7500], [0.7500, 0.7500, 0.2500], [0.2500, 0.2500, 0.7500], [0.2500, 0.7500, 0.2500], [0.7500, 0.2500, 0.2500], [0.7500, 0.7500, 0.7500]],
  "spacegroup": "F-43m",
  "delta_e_f_mev_per_atom": -156,
  "total_magnetization_mub_per_atom": 1.716,
  "n_ef_per_ev_cell": 56.4
}

***

{
  "formula": "Ni2PtWN",
  "functional": "GGA-PBE",
  "state": "relaxed",
  "cell": [[3.8883, 0.0000, 0.0000], [0.0000, 3.8883, 0.0000], [0.0000, 0.0000, 4.0085]],
  "species": ["Ni", "Ni", "Pt", "W", "N"],
  "frac_coords": [[0.0000, 0.5000, 0.0000], [0.5000, 0.0000, 0.0000], [0.0000, 0.0000, 0.5000], [0.5000, 0.5000, 0.5000], [0.5000, 0.5000, 0.0000]],
  "spacegroup": "P4/mmm",
  "total_magnetization_mub_per_atom": 0.000,
  "n_ef_per_ev_cell": 4.5,
  "raw_formation_energy_ev_per_atom": -0.075
}

***

{
  "formula": "ScRe2",
  "functional": "GGA-PBE",
  "state": "relaxed",
  "cell": [[3.5726, 0.0000, 0.0000], [0.0000, 3.5726, 0.0000], [0.0000, 0.0000, 4.7015]],
  "species": ["Sc", "Re", "Re"],
  "frac_coords": [[0.0000, 0.0000, 0.0000], [0.0000, 0.5000, 0.5000], [0.5000, 0.0000, 0.5000]],
  "spacegroup": "P4/mmm",
  "delta_e_f_mev_per_atom": 388,
  "total_magnetization_mub_per_atom": 0.000,
  "n_ef_per_ev_cell": 1.6
}

***

{
  "formula": "Cd2MoW",
  "functional": "GGA-PBE",
  "state": "relaxed",
  "cell": [[9.6198, 0.0000, 0.0000], [0.0000, 2.7641, 0.0000], [-0.4326, 0.0000, 5.4097]],
  "species": ["Cd", "Cd", "Cd", "Cd", "Mo", "Mo", "W", "W"],
  "frac_coords": [[0.0000, 0.0000, 0.0000], [0.2481, 0.0000, 0.7717], [0.5000, 0.5000, 0.0000], [0.7481, 0.5000, 0.7717], [0.0009, 0.5000, 0.4835], [0.5009, 0.0000, 0.4835], [0.2467, 0.5000, 0.2871], [0.7467, 0.0000, 0.2871]],
  "spacegroup": "Cm",
  "delta_e_f_mev_per_atom": 523,
  "total_magnetization_mub_per_atom": 0.000,
  "polymorph_energy_ev_per_atom": 0.232,
  "n_ef_per_ev_cell": 3.3
}

***

{
  "formula": "Pr5NdPt4",
  "functional": "GGA-PBE",
  "state": "relaxed",
  "cell": [[9.1885, -2.1323, 0.0000], [9.1885, 2.1323, 0.0000], [-2.3381, 0.0000, 7.9171]],
  "species": ["Pr", "Pr", "Pr", "Pr", "Pr", "Nd", "Pt", "Pt", "Pt", "Pt"],
  "frac_coords": [[0.0000, 0.0000, 0.0000], [0.3345, 0.3345, 0.1525], [0.3339, 0.3339, 0.6375], [0.6661, 0.6661, 0.3625], [0.6655, 0.6655, 0.8475], [0.0000, 0.0000, 0.5000], [0.1719, 0.1719, 0.6130], [0.4984, 0.4984, 0.2429], [0.5016, 0.5016, 0.7571], [0.8281, 0.8281, 0.3870]],
  "spacegroup": "C2/m",
  "delta_e_f_mev_per_atom": -836,
  "total_magnetization_mub_per_atom": 0.000,
  "n_ef_per_ev_cell": 8.0
}

***

{
  "formula": "Pb3WC",
  "functional": "GGA-PBE",
  "state": "relaxed",
  "cell": [[5.3937, 0.0000, 0.0000], [0.0000, 5.3937, 0.0000], [0.0000, 0.0000, 5.3937]],
  "species": ["Pb", "Pb", "Pb", "W", "C"],
  "frac_coords": [[0.0000, 0.0000, 0.5000], [0.0000, 0.5000, 0.0000], [0.5000, 0.0000, 0.0000], [0.0000, 0.0000, 0.0000], [0.5000, 0.5000, 0.5000]],
  "spacegroup": "Pm-3m",
  "delta_e_f_mev_per_atom": 1830,
  "total_magnetization_mub_per_atom": 0.553,
  "polymorph_energy_ev_per_atom": 0.000,
  "n_ef_per_ev_cell": 7.6
}

***

{
  "formula": "Cd7Br",
  "functional": "GGA-PBE",
  "state": "relaxed",
  "cell": [[0.0000, 4.6046, 4.6046], [4.6046, 0.0000, 4.6046], [4.6046, 4.6046, 0.0000]],
  "species": ["Cd", "Cd", "Cd", "Cd", "Cd", "Cd", "Cd", "Br"],
  "frac_coords": [[0.0000, 0.0000, 0.0000], [0.0000, 0.0000, 0.5000], [0.0000, 0.5000, 0.0000], [0.0000, 0.5000, 0.5000], [0.5000, 0.0000, 0.0000], [0.5000, 0.0000, 0.5000], [0.5000, 0.5000, 0.0000], [0.5000, 0.5000, 0.5000]],
  "spacegroup": "Fm-3m",
  "total_magnetization_mub_per_atom": 0.000,
  "n_ef_per_ev_cell": 2.1,
  "raw_formation_energy_ev_per_atom": 0.000
}

***

{
  "formula": "SnHg2Pt",
  "functional": "GGA-PBE",
  "state": "relaxed",
  "cell": [[8.9832, 0.0000, 0.0000], [0.0000, 8.9832, 0.0000], [0.0000, 0.0000, 5.1442]],
  "species": ["Sn", "Sn", "Sn", "Sn", "Hg", "Hg", "Hg", "Hg", "Hg", "Hg", "Hg", "Hg", "Pt", "Pt", "Pt", "Pt"],
  "frac_coords": [[0.0000, 0.0000, 0.0000], [0.0000, 0.5000, 0.2500], [0.5000, 0.0000, 0.7500], [0.5000, 0.5000, 0.5000], [0.1734, 0.2500, 0.6250], [0.2500, 0.6734, 0.8750], [0.2500, 0.8266, 0.3750], [0.3266, 0.2500, 0.1250], [0.6734, 0.7500, 0.1250], [0.7500, 0.1734, 0.3750], [0.7500, 0.3266, 0.8750], [0.8266, 0.7500, 0.6250], [0.0000, 0.0000, 0.5000], [0.0000, 0.5000, 0.7500], [0.5000, 0.0000, 0.2500], [0.5000, 0.5000, 0.0000]],
  "spacegroup": "I-42d",
  "delta_e_f_mev_per_atom": 63,
  "total_magnetization_mub_per_atom": 0.000,
  "n_ef_per_ev_cell": 7.1
}

***

{
  "formula": "V2ZnBi",
  "functional": "GGA-PBE",
  "state": "relaxed",
  "cell": [[3.8999, 0.0000, 0.0000], [0.0000, 3.8999, 0.0000], [0.0000, 0.0000, 19.5120]],
  "species": ["V", "V", "V", "V", "V", "V", "V", "V", "Zn", "Zn", "Zn", "Zn", "Bi", "Bi", "Bi", "Bi"],
  "frac_coords": [[0.2161, 0.2500, 0.1250], [0.2500, 0.7161, 0.3750], [0.2500, 0.7839, 0.8750], [0.2839, 0.2500, 0.6250], [0.7161, 0.7500, 0.6250], [0.7500, 0.2161, 0.8750], [0.7500, 0.2839, 0.3750], [0.7839, 0.7500, 0.1250], [0.0000, 0.0000, 0.0000], [0.0000, 0.5000, 0.2500], [0.5000, 0.0000, 0.7500], [0.5000, 0.5000, 0.5000], [0.0000, 0.0000, 0.5000], [0.0000, 0.5000, 0.7500], [0.5000, 0.0000, 0.2500], [0.5000, 0.5000, 0.0000]],
  "spacegroup": "I-42d",
  "delta_e_f_mev_per_atom": 680,
  "total_magnetization_mub_per_atom": 0.177,
  "polymorph_energy_ev_per_atom": 0.197,
  "n_ef_per_ev_cell": 20.3
}